# 1
# AgSbSO, optimized geometry, DFT PBE-GGA
# calculated density	6.1	g/cm³
# ΔE to the lowest computed polymorph	0.0	meV per atom
# total energy	-147.49	eV/cell
data_AgSbSO
_cell_length_a 10.799
_cell_length_b 9.747
_cell_length_c 5.732
_cell_angle_alpha 90.00
_cell_angle_beta 90.00
_cell_angle_gamma 90.00
_symmetry_space_group_name_H-M 'P 1'
_symmetry_Int_Tables_number 1
loop_
_symmetry_equiv_pos_as_xyz
'x,y,z'
loop_
_atom_site_label
_atom_site_fract_x
_atom_site_fract_y
_atom_site_fract_z
Ag1 0.866 0.973 0.620
S1 0.500 0.770 0.792
O1 0.136 0.472 0.949
Ag2 0.634 0.029 0.387
Ag3 0.866 0.027 0.120
O2 0.864 0.472 0.949
S2 0.251 0.821 0.254
O3 0.136 0.528 0.449
Sb1 0.500 0.336 0.687
Sb2 0.000 0.336 0.822
O4 0.364 0.528 0.059
O5 0.864 0.528 0.449
O6 0.636 0.472 0.559
S3 0.749 0.179 0.754
S4 0.000 0.772 0.715
S5 0.500 0.230 0.292
Sb3 0.750 0.605 0.755
Ag4 0.634 0.971 0.887
Sb4 0.500 0.664 0.187
Ag5 0.134 0.027 0.120
O7 0.364 0.472 0.559
Sb5 0.000 0.664 0.322
S6 0.749 0.821 0.254
Ag6 0.366 0.029 0.387
O8 0.636 0.528 0.059
Ag7 0.366 0.971 0.887
S7 0.251 0.179 0.754
Ag8 0.134 0.973 0.620
Sb6 0.250 0.395 0.255
Sb7 0.750 0.395 0.255
Sb8 0.250 0.605 0.755
S8 0.000 0.228 0.215

***

# 2
# AgSbSO, optimized geometry, DFT PBE-GGA
# calculated density	5.3	g/cm³
# ΔE to the lowest computed polymorph	208.3	meV per atom
# total energy	-70.41	eV/cell
data_AgSbSO
_cell_length_a 6.132
_cell_length_b 9.805
_cell_length_c 5.773
_cell_angle_alpha 90.00
_cell_angle_beta 90.00
_cell_angle_gamma 90.00
_symmetry_space_group_name_H-M 'P 1'
_symmetry_Int_Tables_number 1
loop_
_symmetry_equiv_pos_as_xyz
'x,y,z'
loop_
_atom_site_label
_atom_site_fract_x
_atom_site_fract_y
_atom_site_fract_z
O1 0.998 0.109 0.081
Sb1 0.466 0.695 0.055
O2 0.498 0.891 0.081
S1 0.945 0.327 0.611
O3 0.502 0.109 0.581
Ag1 0.881 0.896 0.003
Ag2 0.381 0.104 0.003
S2 0.055 0.673 0.111
Ag3 0.119 0.104 0.503
Sb2 0.534 0.305 0.555
Sb3 0.034 0.695 0.555
S3 0.555 0.327 0.111
Sb4 0.966 0.305 0.055
Ag4 0.619 0.896 0.503
O4 0.002 0.891 0.581
S4 0.445 0.673 0.611

***

# 3
# AgSbSO, optimized geometry, DFT PBE-GGA
# calculated density	6.1	g/cm³
# ΔE to the lowest computed polymorph	67.8	meV per atom
# total energy	-72.66	eV/cell
data_AgSbSO
_cell_length_a 6.507
_cell_length_b 7.498
_cell_length_c 6.178
_cell_angle_alpha 90.00
_cell_angle_beta 90.32
_cell_angle_gamma 90.00
_symmetry_space_group_name_H-M 'P 1'
_symmetry_Int_Tables_number 1
loop_
_symmetry_equiv_pos_as_xyz
'x,y,z'
loop_
_atom_site_label
_atom_site_fract_x
_atom_site_fract_y
_atom_site_fract_z
Ag1 0.936 0.298 0.990
Ag2 0.936 0.202 0.490
O1 0.423 0.733 0.000
Sb1 0.411 0.357 0.737
Sb2 0.411 0.143 0.237
S1 0.181 0.086 0.783
O2 0.577 0.233 0.500
O3 0.577 0.267 0.000
S2 0.819 0.586 0.717
Sb3 0.589 0.643 0.263
Sb4 0.589 0.857 0.763
O4 0.423 0.767 0.500
S3 0.819 0.914 0.217
Ag3 0.064 0.798 0.510
Ag4 0.064 0.702 0.010
S4 0.181 0.414 0.283

***

# 4
# AgSbSO, optimized geometry, DFT PBE-GGA
# calculated density	6.8	g/cm³
# ΔE to the lowest computed polymorph	78.0	meV per atom
# total energy	-36.25	eV/cell
data_AgSbSO
_cell_length_a 3.890
_cell_length_b 3.890
_cell_length_c 8.952
_cell_angle_alpha 90.00
_cell_angle_beta 90.00
_cell_angle_gamma 90.00
_symmetry_space_group_name_H-M 'P 1'
_symmetry_Int_Tables_number 1
loop_
_symmetry_equiv_pos_as_xyz
'x,y,z'
loop_
_atom_site_label
_atom_site_fract_x
_atom_site_fract_y
_atom_site_fract_z
S1 0.750 0.750 0.294
O1 0.750 0.250 0.000
O2 0.250 0.750 0.000
Ag1 0.250 0.750 0.500
Sb1 0.750 0.750 0.866
Sb2 0.250 0.250 0.134
S2 0.250 0.250 0.706
Ag2 0.750 0.250 0.500

***

# 5
# Sr3Sc2Ag2S2O5, optimized geometry, DFT PBE-GGA
# calculated density	5.2	g/cm³
# total energy	-89.81	eV/cell
data_Sr3Sc2Ag2S2O5
_cell_length_a 13.715
_cell_length_b 13.715
_cell_length_c 13.715
_cell_angle_alpha 162.68
_cell_angle_beta 162.68
_cell_angle_gamma 24.58
_symmetry_space_group_name_H-M 'P 1'
_symmetry_Int_Tables_number 1
loop_
_symmetry_equiv_pos_as_xyz
'x,y,z'
loop_
_atom_site_label
_atom_site_fract_x
_atom_site_fract_y
_atom_site_fract_z
Sr1 0.362 0.362 0.000
O1 0.000 0.000 0.000
Sr2 0.500 0.500 0.000
S1 0.814 0.814 0.000
O2 0.083 0.583 0.500
Ag1 0.250 0.750 0.500
Sc1 0.074 0.074 0.000
Ag2 0.750 0.250 0.500
O3 0.583 0.083 0.500
Sc2 0.926 0.926 0.000
S2 0.186 0.186 0.000
O4 0.917 0.417 0.500
Sr3 0.638 0.638 0.000
O5 0.417 0.917 0.500

***

# 6
# SiAg6SO8, optimized geometry, DFT PBE-GGA
# calculated density	6.4	g/cm³
# total energy	-162.26	eV/cell
data_SiAg6SO8
_cell_length_a 10.208
_cell_length_b 10.208
_cell_length_c 10.208
_cell_angle_alpha 139.98
_cell_angle_beta 139.98
_cell_angle_gamma 57.89
_symmetry_space_group_name_H-M 'P 1'
_symmetry_Int_Tables_number 1
loop_
_symmetry_equiv_pos_as_xyz
'x,y,z'
loop_
_atom_site_label
_atom_site_fract_x
_atom_site_fract_y
_atom_site_fract_z
O1 0.798 0.123 0.325
O2 0.551 0.354 0.802
Ag1 0.169 0.125 0.544
Ag2 0.017 0.517 0.500
Ag3 0.581 0.125 0.956
O3 0.952 0.127 0.175
Si1 0.500 0.500 0.000
O4 0.952 0.777 0.825
S1 0.000 0.000 0.000
O5 0.104 0.801 0.302
Ag4 0.375 0.831 0.956
Si2 0.250 0.750 0.500
O6 0.873 0.048 0.825
Ag5 0.875 0.831 0.456
Ag6 0.733 0.733 0.000
O7 0.251 0.449 0.802
O8 0.877 0.202 0.675
O9 0.527 0.202 0.325
Ag7 0.483 0.983 0.500
O10 0.199 0.896 0.698
Ag8 0.375 0.419 0.544
O11 0.199 0.501 0.302
O12 0.798 0.473 0.675
Ag9 0.169 0.625 0.044
O13 0.499 0.801 0.698
S2 0.750 0.250 0.500
Ag10 0.875 0.419 0.044
O14 0.646 0.449 0.198
O15 0.223 0.048 0.175
O16 0.551 0.749 0.198
Ag11 0.267 0.267 0.000
Ag12 0.581 0.625 0.456

***

# 7
# SmAgSO, optimized geometry, DFT PBE-GGA
# calculated density	7.1	g/cm³
# total energy	-94.35	eV/cell
data_SmAgSO
_cell_length_a 6.120
_cell_length_b 7.310
_cell_length_c 6.556
_cell_angle_alpha 90.00
_cell_angle_beta 100.42
_cell_angle_gamma 90.00
_symmetry_space_group_name_H-M 'P 1'
_symmetry_Int_Tables_number 1
loop_
_symmetry_equiv_pos_as_xyz
'x,y,z'
loop_
_atom_site_label
_atom_site_fract_x
_atom_site_fract_y
_atom_site_fract_z
O1 0.570 0.177 0.582
Sm1 0.597 0.606 0.243
Ag1 0.064 0.801 0.515
S1 0.168 0.064 0.820
O2 0.430 0.677 0.918
Ag2 0.064 0.699 0.015
S2 0.832 0.564 0.680
O3 0.430 0.823 0.418
S3 0.168 0.436 0.320
S4 0.832 0.936 0.180
Sm2 0.403 0.394 0.757
O4 0.570 0.323 0.082
Ag3 0.936 0.301 0.985
Ag4 0.936 0.199 0.485
Sm3 0.403 0.106 0.257
Sm4 0.597 0.894 0.743

***

# 8
# SmAgSO, optimized geometry, DFT PBE-GGA
# calculated density	6.0	g/cm³
# total energy	-45.92	eV/cell
data_SmAgSO
_cell_length_a 4.286
_cell_length_b 6.094
_cell_length_c 6.533
_cell_angle_alpha 90.00
_cell_angle_beta 90.00
_cell_angle_gamma 90.00
_symmetry_space_group_name_H-M 'P 1'
_symmetry_Int_Tables_number 1
loop_
_symmetry_equiv_pos_as_xyz
'x,y,z'
loop_
_atom_site_label
_atom_site_fract_x
_atom_site_fract_y
_atom_site_fract_z
Ag1 0.000 0.748 0.591
S1 0.000 0.646 0.218
O1 0.500 0.895 0.677
S2 0.000 0.354 0.718
Sm1 0.500 0.198 0.504
Sm2 0.500 0.802 0.004
Ag2 0.000 0.252 0.091
O2 0.500 0.105 0.177

***

# 9
# SmAgSO, optimized geometry, DFT PBE-GGA
# calculated density	5.6	g/cm³
# total energy	-96.59	eV/cell
data_SmAgSO
_cell_length_a 5.761
_cell_length_b 5.763
_cell_length_c 11.004
_cell_angle_alpha 90.00
_cell_angle_beta 91.99
_cell_angle_gamma 90.00
_symmetry_space_group_name_H-M 'P 1'
_symmetry_Int_Tables_number 1
loop_
_symmetry_equiv_pos_as_xyz
'x,y,z'
loop_
_atom_site_label
_atom_site_fract_x
_atom_site_fract_y
_atom_site_fract_z
Sm1 0.495 0.821 0.899
Ag1 0.999 0.341 0.299
Ag2 0.692 0.595 0.497
Ag3 0.308 0.095 0.503
Ag4 0.001 0.841 0.701
Sm2 0.505 0.321 0.101
S1 0.290 0.054 0.289
O1 0.752 0.570 0.000
S2 0.294 0.128 0.716
O2 0.750 0.070 0.000
S3 0.706 0.628 0.284
O3 0.248 0.070 0.000
O4 0.250 0.570 0.000
S4 0.710 0.554 0.711
Sm3 0.994 0.322 0.898
Sm4 0.006 0.822 0.102

***

# 10
# AgSnSO, optimized geometry, DFT PBE-GGA
# calculated density	6.2	g/cm³
# ΔE to the lowest computed polymorph	57.1	meV per atom
# total energy	-71.19	eV/cell
data_AgSnSO
_cell_length_a 5.475
_cell_length_b 3.596
_cell_length_c 15.046
_cell_angle_alpha 90.00
_cell_angle_beta 90.00
_cell_angle_gamma 90.00
_symmetry_space_group_name_H-M 'P 1'
_symmetry_Int_Tables_number 1
loop_
_symmetry_equiv_pos_as_xyz
'x,y,z'
loop_
_atom_site_label
_atom_site_fract_x
_atom_site_fract_y
_atom_site_fract_z
O1 0.251 0.750 0.654
Ag1 0.767 0.750 0.698
S1 0.749 0.750 0.075
O2 0.249 0.250 0.154
Ag2 0.733 0.250 0.198
S2 0.751 0.250 0.575
Sn1 0.247 0.750 0.076
Sn2 0.753 0.250 0.924
Sn3 0.253 0.250 0.576
Ag3 0.233 0.250 0.302
S3 0.249 0.750 0.425
Ag4 0.267 0.750 0.802
O3 0.751 0.750 0.846
S4 0.251 0.250 0.925
O4 0.749 0.250 0.346
Sn4 0.747 0.750 0.424

***

# 11
# AgSnSO, optimized geometry, DFT PBE-GGA
# calculated density	5.9	g/cm³
# ΔE to the lowest computed polymorph	490.0	meV per atom
# total energy	-32.13	eV/cell
data_AgSnSO
_cell_length_a 4.226
_cell_length_b 4.226
_cell_length_c 8.691
_cell_angle_alpha 90.00
_cell_angle_beta 90.00
_cell_angle_gamma 90.00
_symmetry_space_group_name_H-M 'P 1'
_symmetry_Int_Tables_number 1
loop_
_symmetry_equiv_pos_as_xyz
'x,y,z'
loop_
_atom_site_label
_atom_site_fract_x
_atom_site_fract_y
_atom_site_fract_z
O1 0.250 0.250 0.480
Ag1 0.750 0.750 0.259
Sn1 0.750 0.250 0.000
S1 0.250 0.250 0.305
Ag2 0.250 0.250 0.741
S2 0.750 0.750 0.695
O2 0.750 0.750 0.520
Sn2 0.250 0.750 0.000

***

# 12
# AgSnSO, optimized geometry, DFT PBE-GGA
# calculated density	5.0	g/cm³
# ΔE to the lowest computed polymorph	340.0	meV per atom
# total energy	-33.33	eV/cell
data_AgSnSO
_cell_length_a 5.203
_cell_length_b 5.203
_cell_length_c 6.696
_cell_angle_alpha 90.00
_cell_angle_beta 90.00
_cell_angle_gamma 90.00
_symmetry_space_group_name_H-M 'P 1'
_symmetry_Int_Tables_number 1
loop_
_symmetry_equiv_pos_as_xyz
'x,y,z'
loop_
_atom_site_label
_atom_site_fract_x
_atom_site_fract_y
_atom_site_fract_z
O1 0.750 0.750 0.902
Sn1 0.750 0.750 0.620
Sn2 0.250 0.250 0.380
Ag1 0.750 0.750 0.212
Ag2 0.250 0.250 0.788
S1 0.750 0.250 0.500
S2 0.250 0.750 0.500
O2 0.250 0.250 0.098

***

# 13
# AgSnSO, optimized geometry, DFT PBE-GGA
# calculated density	5.8	g/cm³
# ΔE to the lowest computed polymorph	196.6	meV per atom
# total energy	-68.95	eV/cell
data_AgSnSO
_cell_length_a 6.037
_cell_length_b 9.482
_cell_length_c 5.512
_cell_angle_alpha 90.00
_cell_angle_beta 90.00
_cell_angle_gamma 90.00
_symmetry_space_group_name_H-M 'P 1'
_symmetry_Int_Tables_number 1
loop_
_symmetry_equiv_pos_as_xyz
'x,y,z'
loop_
_atom_site_label
_atom_site_fract_x
_atom_site_fract_y
_atom_site_fract_z
Ag1 0.125 0.091 0.503
O1 0.998 0.122 0.100
Sn1 0.046 0.669 0.568
Ag2 0.875 0.909 0.003
O2 0.502 0.122 0.600
Sn2 0.954 0.331 0.068
O3 0.002 0.878 0.600
S1 0.510 0.346 0.078
Sn3 0.454 0.669 0.068
S2 0.490 0.654 0.578
S3 0.010 0.654 0.078
O4 0.498 0.878 0.100
Sn4 0.546 0.331 0.568
Ag3 0.625 0.909 0.503
S4 0.990 0.346 0.578
Ag4 0.375 0.091 0.003

***

# 14
# AgSnSO, optimized geometry, DFT PBE-GGA
# calculated density	5.9	g/cm³
# ΔE to the lowest computed polymorph	59.5	meV per atom
# total energy	-35.57	eV/cell
data_AgSnSO
_cell_length_a 3.881
_cell_length_b 3.881
_cell_length_c 10.245
_cell_angle_alpha 90.00
_cell_angle_beta 90.00
_cell_angle_gamma 90.00
_symmetry_space_group_name_H-M 'P 1'
_symmetry_Int_Tables_number 1
loop_
_symmetry_equiv_pos_as_xyz
'x,y,z'
loop_
_atom_site_label
_atom_site_fract_x
_atom_site_fract_y
_atom_site_fract_z
O1 0.250 0.750 0.500
Ag1 0.250 0.250 0.876
S1 0.250 0.250 0.136
Ag2 0.750 0.750 0.124
Sn1 0.250 0.250 0.389
Sn2 0.750 0.750 0.611
S2 0.750 0.750 0.864
O2 0.750 0.250 0.500

***

# 15
# AgSnSO, optimized geometry, DFT PBE-GGA
# calculated density	5.7	g/cm³
# ΔE to the lowest computed polymorph	83.0	meV per atom
# total energy	-35.39	eV/cell
data_AgSnSO
_cell_length_a 6.953
_cell_length_b 6.953
_cell_length_c 6.320
_cell_angle_alpha 90.00
_cell_angle_beta 90.00
_cell_angle_gamma 148.49
_symmetry_space_group_name_H-M 'P 1'
_symmetry_Int_Tables_number 1
loop_
_symmetry_equiv_pos_as_xyz
'x,y,z'
loop_
_atom_site_label
_atom_site_fract_x
_atom_site_fract_y
_atom_site_fract_z
O1 0.951 0.049 0.559
Sn1 0.083 0.917 0.386
Sn2 0.917 0.083 0.886
S1 0.697 0.303 0.530
O2 0.049 0.951 0.059
S2 0.303 0.697 0.030
Ag1 0.351 0.649 0.417
Ag2 0.649 0.351 0.917

***

# 16
# AgSnSO, optimized geometry, DFT PBE-GGA
# calculated density	4.3	g/cm³
# ΔE to the lowest computed polymorph	0.0	meV per atom
# total energy	-72.10	eV/cell
data_AgSnSO
_cell_length_a 5.798
_cell_length_b 8.443
_cell_length_c 8.642
_cell_angle_alpha 90.00
_cell_angle_beta 90.00
_cell_angle_gamma 90.00
_symmetry_space_group_name_H-M 'P 1'
_symmetry_Int_Tables_number 1
loop_
_symmetry_equiv_pos_as_xyz
'x,y,z'
loop_
_atom_site_label
_atom_site_fract_x
_atom_site_fract_y
_atom_site_fract_z
S1 0.989 0.885 0.176
O1 0.981 0.267 0.924
O2 0.019 0.767 0.576
Sn1 0.145 0.186 0.113
S2 0.489 0.615 0.824
S3 0.011 0.385 0.324
Ag1 0.742 0.768 0.984
Ag2 0.242 0.732 0.016
Ag3 0.758 0.232 0.484
O3 0.519 0.733 0.424
Sn2 0.355 0.814 0.613
Ag4 0.258 0.268 0.516
Sn3 0.855 0.686 0.387
O4 0.481 0.233 0.076
Sn4 0.645 0.314 0.887
S4 0.511 0.115 0.676

***

# 17
# AgSnSO, optimized geometry, DFT PBE-GGA
# calculated density	5.9	g/cm³
# ΔE to the lowest computed polymorph	268.2	meV per atom
# total energy	-33.90	eV/cell
data_AgSnSO
_cell_length_a 3.868
_cell_length_b 3.868
_cell_length_c 12.018
_cell_angle_alpha 90.00
_cell_angle_beta 90.00
_cell_angle_gamma 120.00
_symmetry_space_group_name_H-M 'P 1'
_symmetry_Int_Tables_number 1
loop_
_symmetry_equiv_pos_as_xyz
'x,y,z'
loop_
_atom_site_label
_atom_site_fract_x
_atom_site_fract_y
_atom_site_fract_z
O1 0.000 0.000 0.826
Ag1 0.333 0.667 0.250
S1 0.667 0.333 0.119
Ag2 0.667 0.333 0.750
Sn1 0.000 0.000 0.993
Sn2 0.000 0.000 0.493
S2 0.333 0.667 0.619
O2 0.000 0.000 0.326

***

# 18
# AgSnSO, optimized geometry, DFT PBE-GGA
# calculated density	6.2	g/cm³
# ΔE to the lowest computed polymorph	326.2	meV per atom
# total energy	-33.44	eV/cell
data_AgSnSO
_cell_length_a 3.864
_cell_length_b 3.864
_cell_length_c 9.850
_cell_angle_alpha 90.00
_cell_angle_beta 90.00
_cell_angle_gamma 90.00
_symmetry_space_group_name_H-M 'P 1'
_symmetry_Int_Tables_number 1
loop_
_symmetry_equiv_pos_as_xyz
'x,y,z'
loop_
_atom_site_label
_atom_site_fract_x
_atom_site_fract_y
_atom_site_fract_z
O1 0.250 0.250 0.082
Ag1 0.250 0.250 0.315
Ag2 0.750 0.750 0.685
Sn1 0.750 0.750 0.129
S1 0.750 0.250 0.500
S2 0.250 0.750 0.500
Sn2 0.250 0.250 0.871
O2 0.750 0.750 0.918